Compound: CsKNi
Source: Alexandria
Functional: GGA-PBE
Structure: relaxed

Structure (CIF):
```
data_CsKNi
_chemical_formula_sum 'Cs2 K2 Ni2'
_symmetry_space_group_name_H-M 'P 1 21/m 1'
_symmetry_Int_Tables_number 11
_cell_length_a 8.6512
_cell_length_b 4.3132
_cell_length_c 8.9373
_cell_angle_alpha 90.00
_cell_angle_beta 101.69
_cell_angle_gamma 90.00
loop_
_symmetry_equiv_pos_as_xyz
'x,y,z'
'-x,-y,-z'
'-x,y+1/2,-z'
'x,-y+1/2,z'
loop_
_atom_site_label
_atom_site_type_symbol
_atom_site_fract_x
_atom_site_fract_y
_atom_site_fract_z
_atom_site_occupancy
Cs1 Cs 0.1732 0.2500 0.2854 1
K1 K 0.3695 0.2500 0.7731 1
Ni1 Ni 0.4633 0.7500 0.5109 1
```

Computed properties:
* energy above the lowest structure with this stoichiometry: 0.00 eV/f.u.
* electronic total energy: -2.21 eV per atom